[1]
Ba2LaY, optimized geometry, DFT GGA-PBE; offset from the most stable computed form = 108 meV per atom
1.0
1.957 1.130 13.104
-1.957 1.130 13.104
0.000 -2.260 13.104
Ba La Y
2 1 1
Cartesian
0.000 0.000 9.755
0.000 0.000 29.555
0.000 0.000 0.000
0.000 0.000 19.655



[2]
Compound: Ba2LaY2
Source: Alexandria via LeMat-Bulk
Functional: GGA-PBE
Structure: optimized geometry

Structure (POSCAR):
```
Ba2LaY2
1.0
10.314 0.000 0.000
0.000 10.314 0.000
0.000 0.000 3.994
Ba La Y
4 2 4
Cartesian
1.827 3.330 0.000
3.330 8.487 0.000
6.984 1.827 0.000
8.487 6.984 0.000
0.000 0.000 1.997
5.157 5.157 1.997
1.236 6.393 1.997
3.921 1.236 1.997
6.393 9.078 1.997
9.078 3.921 1.997
```



[3]
Ba2LaY, optimized geometry, DFT GGA-PBE; offset from the most stable computed form = 183 meV per atom
1.0
6.336 0.000 0.000
0.000 6.336 0.000
0.000 0.000 4.505
Ba La Y
2 1 1
Cartesian
0.000 3.168 0.000
3.168 0.000 0.000
0.000 0.000 2.253
3.168 3.168 2.253



[4]
Ba2LaY, optimized geometry, DFT GGA-PBE; offset from the most stable computed form = 137 meV per atom
1.0
4.285 0.000 0.000
0.000 6.373 0.000
0.000 0.000 6.549
Ba La Y
2 1 1
Cartesian
0.000 0.000 0.000
2.143 3.187 0.000
0.000 3.187 3.274
2.143 0.000 3.274



[5]
Compound: Ba2LaZn2
Source: Alexandria via LeMat-Bulk
Functional: GGA-PBE
Structure: optimized geometry

Structure (POSCAR):
```
Ba2LaZn2
1.0
9.038 0.000 0.000
0.000 9.038 0.000
0.000 0.000 4.447
Ba La Zn
4 2 4
Cartesian
1.446 3.073 0.000
3.073 7.592 0.000
5.965 1.446 0.000
7.592 5.965 0.000
0.000 0.000 2.223
4.519 4.519 2.223
1.222 5.741 2.223
3.297 1.222 2.223
5.741 7.816 2.223
7.816 3.297 2.223
```



[6]
BaLa3Zn, optimized geometry, DFT GGA-PBE; offset from the most stable computed form = 801 meV per atom
1.0
5.934 0.000 0.000
0.000 5.934 0.000
0.000 0.000 5.934
Ba La Zn
1 3 1
Cartesian
0.000 0.000 0.000
0.000 0.000 2.967
0.000 2.967 0.000
2.967 0.000 0.000
2.967 2.967 2.967



[7]
Compound: BaLaZn2
Source: Alexandria via LeMat-Bulk
Functional: GGA-PBE
Structure: optimized geometry

Structure (POSCAR):
```
BaLaZn2
1.0
2.041 1.178 9.340
-2.041 1.178 9.340
0.000 -2.357 9.340
Ba La Zn
1 1 2
Cartesian
0.000 0.000 0.000
0.000 0.000 14.010
0.000 0.000 6.801
0.000 0.000 21.218
```



[8]
BaLa2Zn2, optimized geometry, DFT GGA-PBE; offset from the most stable computed form = 0 meV per atom
1.0
9.105 0.000 0.000
0.000 9.105 0.000
0.000 0.000 3.661
Ba La Zn
2 4 4
Cartesian
0.000 0.000 0.000
4.553 4.553 0.000
1.109 3.444 0.000
3.444 7.996 0.000
5.661 1.109 0.000
7.996 5.661 0.000
1.557 6.109 1.831
2.996 1.557 1.831
6.109 7.548 1.831
7.548 2.996 1.831



[9]
BaLaZn, optimized geometry, DFT GGA-PBE; offset from the most stable computed form = 0 meV per atom
1.0
-1.979 1.979 7.006
1.979 -1.979 7.006
1.979 1.979 -7.006
Ba La Zn
1 1 1
Cartesian
0.000 0.000 0.000
0.000 0.000 10.305
0.000 0.000 4.778



[10]
Compound: Ba3LaZn4
Source: Alexandria via LeMat-Bulk
Functional: GGA-PBE
Structure: optimized geometry

Structure (POSCAR):
```
Ba3LaZn4
1.0
3.998 0.000 0.000
0.000 3.998 0.000
0.000 0.000 16.180
Ba La Zn
3 1 4
Cartesian
0.000 0.000 0.000
0.000 0.000 4.212
0.000 0.000 11.968
0.000 0.000 8.090
1.999 1.999 2.093
1.999 1.999 6.477
1.999 1.999 9.703
1.999 1.999 14.087
```



[11]
Compound: BaLa2Zn
Source: Alexandria via LeMat-Bulk
Functional: GGA-PBE
Structure: optimized geometry

Structure (POSCAR):
```
BaLa2Zn
1.0
2.597 1.499 6.712
-2.597 1.499 6.712
0.000 -2.998 6.712
Ba La Zn
1 2 1
Cartesian
0.000 0.000 0.000
0.000 0.000 10.676
0.000 0.000 16.091
0.000 0.000 3.950
```



[12]
Compound: BaLaZn2
Source: Alexandria via LeMat-Bulk
Functional: GGA-PBE
Structure: optimized geometry

Structure (POSCAR):
```
BaLaZn2
1.0
6.209 -1.880 0.000
6.209 1.880 0.000
-2.342 0.000 4.858
Ba La Zn
1 1 2
Cartesian
0.000 0.000 0.000
9.307 0.000 1.490
1.170 0.000 3.550
5.735 0.000 2.768
```



[13]
Compound: BaLa2Zn
Source: Alexandria via LeMat-Bulk
Functional: GGA-PBE
Structure: optimized geometry

Structure (POSCAR):
```
BaLa2Zn
1.0
-2.515 2.515 5.283
2.515 -2.515 5.283
2.515 2.515 -5.283
Ba La Zn
1 2 1
Cartesian
0.000 0.000 0.000
2.515 0.000 2.641
0.000 0.000 5.283
0.000 2.515 2.641
```



[14]
Compound: BaLa2Zn
Source: Alexandria via LeMat-Bulk
Functional: GGA-PBE
Structure: optimized geometry

Structure (POSCAR):
```
BaLa2Zn
1.0
-2.410 2.410 12.179
2.410 -2.410 12.179
2.410 2.410 -12.179
Ba La Zn
2 4 2
Cartesian
0.000 0.000 0.000
0.000 2.410 6.089
1.205 -0.965 9.134
1.445 1.205 3.045
1.205 3.375 -3.045
0.965 1.205 15.223
2.410 0.000 6.089
0.000 0.000 12.179
```



[15]
Ba3LaZn, optimized geometry, DFT GGA-PBE; offset from the most stable computed form = 0 meV per atom
1.0
6.409 0.000 0.000
0.000 6.409 0.000
0.000 0.000 6.409
Ba La Zn
3 1 1
Cartesian
0.000 0.000 3.205
0.000 3.205 0.000
3.205 0.000 0.000
3.205 3.205 3.205
0.000 0.000 0.000



[16]
Ba3LaZn, optimized geometry, DFT GGA-PBE; offset from the most stable computed form = 421 meV per atom
1.0
6.494 0.000 0.000
0.000 6.494 0.000
0.000 0.000 6.494
Ba La Zn
3 1 1
Cartesian
0.000 0.000 3.247
0.000 3.247 0.000
3.247 0.000 0.000
0.000 0.000 0.000
3.247 3.247 3.247



[17]
BaLa2Zn2, optimized geometry, DFT GGA-PBE; offset from the most stable computed form = 159 meV per atom
1.0
-2.782 2.782 5.647
2.782 -2.782 5.647
2.782 2.782 -5.647
Ba La Zn
1 2 2
Cartesian
0.000 0.000 0.000
0.000 0.000 4.001
0.000 0.000 7.293
2.782 0.000 2.824
0.000 2.782 2.824



[18]
Compound: BaLa2Zn
Source: Alexandria via LeMat-Bulk
Functional: GGA-PBE
Structure: optimized geometry

Structure (POSCAR):
```
BaLa2Zn
1.0
3.907 0.000 0.000
0.000 3.907 0.000
0.000 0.000 9.787
Ba La Zn
1 2 1
Cartesian
0.000 0.000 0.000
1.953 1.953 3.262
1.953 1.953 6.525
0.000 0.000 4.894
```



[19]
Compound: Ba4LaZn
Source: Alexandria via LeMat-Bulk
Functional: GGA-PBE
Structure: optimized geometry

Structure (POSCAR):
```
Ba4LaZn
1.0
0.000 5.352 5.352
5.352 0.000 5.352
5.352 5.352 0.000
Ba La Zn
4 1 1
Cartesian
1.336 1.336 1.336
4.017 4.017 1.336
4.017 1.336 4.017
1.336 4.017 4.017
8.029 8.029 8.029
5.352 5.352 5.352
```



[20]
Compound: BaLaZn2
Source: Alexandria via LeMat-Bulk
Functional: GGA-PBE
Structure: optimized geometry

Structure (POSCAR):
```
BaLaZn2
1.0
0.000 3.775 3.775
3.775 0.000 3.775
3.775 3.775 0.000
Ba La Zn
1 1 2
Cartesian
0.000 0.000 0.000
1.888 1.888 1.888
3.775 3.775 3.775
5.663 5.663 5.663
```



[21]
Compound: BaLa2Zn
Source: Alexandria via LeMat-Bulk
Functional: GGA-PBE
Structure: optimized geometry

Structure (POSCAR):
```
BaLa2Zn
1.0
5.663 0.000 0.000
0.000 5.663 0.000
0.000 0.000 4.253
Ba La Zn
1 2 1
Cartesian
0.000 0.000 0.000
0.000 2.831 2.127
2.831 0.000 2.127
2.831 2.831 0.000
```



[22]
BaLaZn, optimized geometry, DFT GGA-PBE; offset from the most stable computed form = 253 meV per atom
1.0
0.000 3.873 3.873
3.873 0.000 3.873
3.873 3.873 0.000
Ba La Zn
1 1 1
Cartesian
0.000 0.000 0.000
3.873 3.873 3.873
5.810 5.810 5.810



[23]
Compound: BaLa4Zn5
Source: Alexandria via LeMat-Bulk
Functional: GGA-PBE
Structure: optimized geometry

Structure (POSCAR):
```
BaLa4Zn5
1.0
3.821 0.000 0.000
0.000 3.821 0.000
0.000 0.000 19.156
Ba La Zn
1 4 5
Cartesian
0.000 0.000 0.000
0.000 0.000 4.046
0.000 0.000 7.720
0.000 0.000 11.435
0.000 0.000 15.110
1.910 1.910 2.301
1.910 1.910 5.874
1.910 1.910 9.578
1.910 1.910 13.281
1.910 1.910 16.855
```



[24]
Compound: BaLa4Zn2
Source: Alexandria via LeMat-Bulk
Functional: GGA-PBE
Structure: optimized geometry

Structure (POSCAR):
```
BaLa4Zn2
1.0
-2.964 2.964 7.356
2.964 -2.964 7.356
2.964 2.964 -7.356
Ba La Zn
1 4 2
Cartesian
0.000 0.000 0.000
2.964 0.000 0.000
0.000 0.000 3.077
0.000 2.964 0.000
0.000 0.000 11.634
0.000 0.000 6.043
0.000 0.000 8.668
```



[25]
Compound: BaLaZn2
Source: Alexandria via LeMat-Bulk
Functional: GGA-PBE
Structure: optimized geometry

Structure (POSCAR):
```
BaLaZn2
1.0
-2.311 2.311 5.497
2.311 -2.311 5.497
2.311 2.311 -5.497
Ba La Zn
1 1 2
Cartesian
0.000 0.000 0.000
2.311 0.000 2.748
0.000 0.000 5.497
0.000 2.311 2.748
```



[26]
Compound: BaLa2Zn3
Source: Alexandria via LeMat-Bulk
Functional: GGA-PBE
Structure: optimized geometry

Structure (POSCAR):
```
BaLa2Zn3
1.0
3.860 0.000 0.000
0.000 3.860 0.000
0.000 0.000 11.663
Ba La Zn
1 2 3
Cartesian
0.000 0.000 0.000
0.000 0.000 4.022
0.000 0.000 7.641
1.930 1.930 2.300
1.930 1.930 5.831
1.930 1.930 9.363
```



[27]
Compound: BaLa2Zn
Source: Alexandria via LeMat-Bulk
Functional: GGA-PBE
Structure: optimized geometry

Structure (POSCAR):
```
BaLa2Zn
1.0
3.878 0.000 0.000
0.000 5.910 0.000
0.000 0.000 6.009
Ba La Zn
1 2 1
Cartesian
0.000 0.000 0.000
0.000 2.955 3.004
1.939 0.000 3.004
1.939 2.955 0.000
```



[28]
Compound: BaLa2Zn
Source: Alexandria via LeMat-Bulk
Functional: GGA-PBE
Structure: optimized geometry

Structure (POSCAR):
```
BaLa2Zn
1.0
5.119 0.000 0.000
0.000 5.119 0.000
0.000 0.000 5.193
Ba La Zn
1 2 1
Cartesian
0.000 0.000 0.000
0.000 2.559 2.596
2.559 0.000 2.596
2.559 2.559 0.000
```



What are the E values for these records? In order: -0.262, -0.290, -0.257, -0.260, -0.168, -0.197, -0.173, -0.220, -0.207, -0.159, -0.234, -0.182, -0.231, -0.227, -0.158, -0.128, -0.208, -0.245, -0.131, -0.163, -0.227, -0.189, -0.226, -0.216, -0.172, -0.210, -0.233, -0.231 Ry per atom.